[1]
Density functional theory data (GGA-PBEsol) for an optimized crystal structure of MgZn2Ni.

extended XYZ file:
```
4
Lattice="3.0627 0.0000 0.0000 0.0000 3.0627 0.0000 0.0000 0.0000 5.9399" Properties=species:S:1:pos:R:3 pbc="T T T"
Mg 0.0000 0.0000 0.0000
Zn 1.5313 1.5313 1.7210
Zn 1.5313 1.5313 4.2189
Ni 0.0000 0.0000 2.9699
```

N(E_F), states/eV per cell: 1.65
ΔE_f, kJ/mol of atoms: -14.72
Spin magnetization, μB/cell: 0.00
Total energy, eV/atom: -2.9122
Volume, Å³ per atom: 13.9

***

[2]
Density functional theory data (GGA-PBEsol) for an optimized crystal structure of SrTlHg2.

extended XYZ file:
```
4
Lattice="0.0000 3.7484 3.7484 3.7484 0.0000 3.7484 3.7484 3.7484 0.0000" Properties=species:S:1:pos:R:3 pbc="T T T"
Sr 0.0000 0.0000 0.0000
Tl 3.7484 3.7484 3.7484
Hg 1.8742 1.8742 1.8742
Hg 5.6226 5.6226 5.6226
```

N(E_F), states/eV per cell: 1.85
ΔE_f, kJ/mol of atoms: -41.24
Spin magnetization, μB/cell: 0.00
Total energy, eV/atom: -1.8285
Distance to the lowest polymorph of the same formula, meV/atom: 0
Volume, Å³ per atom: 26.3